Entry from the Alexandria database: a relaxed CeSmHo6 crystal (PBE-GGA).

a b c (Å): 11.171 5.018 10.024
angles (deg): 90.00 116.75 90.00
Fractional positions:
1 Ce 0.000 0.000 0.000
2 Ce 0.500 0.500 0.000
3 Sm 0.000 0.000 0.500
4 Sm 0.500 0.500 0.500
5 Ho 0.001 0.500 0.248
6 Ho 0.249 0.000 0.373
7 Ho 0.249 0.500 0.123
8 Ho 0.251 0.000 0.877
9 Ho 0.251 0.500 0.627
10 Ho 0.499 0.000 0.752
11 Ho 0.501 0.000 0.248
12 Ho 0.749 0.000 0.123
13 Ho 0.749 0.500 0.373
14 Ho 0.751 0.000 0.627
15 Ho 0.751 0.500 0.877
16 Ho 0.999 0.500 0.752

## Properties
Energy above the lowest structure with this stoichiometry ... 6 meV/atom
Total energy ... -75.45 eV/cell
DFT formation energy ... 0.397 eV/f.u.
DOS(E_F) ... 14.462 states/eV/f.u.
Symmetry ... C2/m

***

Entry from the Alexandria database: a relaxed CeSmHo2 crystal (PBE-GGA).

a b c (Å): 3.552 3.552 11.377
angles (deg): 90.00 90.00 120.00
Fractional positions:
1 Ce 0.000 0.000 0.000
2 Sm 0.000 0.000 0.500
3 Ho 0.333 0.667 0.755
4 Ho 0.667 0.333 0.245

## Properties
Energy above the lowest structure with this stoichiometry ... 0 meV/atom
Total energy ... -19.69 eV/cell
DFT formation energy ... 0.114 eV/f.u.
DOS(E_F) ... 7.462 states/eV/f.u.
Symmetry ... P-3m1

***

Entry from the Alexandria database: a relaxed CeSm4Ho7 crystal (PBE-GGA).

a b c (Å): 6.688 6.688 12.751
angles (deg): 114.65 114.65 51.87
Fractional positions:
1 Ce 0.000 0.000 0.000
2 Sm 0.237 0.237 0.677
3 Sm 0.366 0.366 0.224
4 Sm 0.634 0.634 0.776
5 Sm 0.763 0.763 0.323
6 Ho 0.065 0.065 0.321
7 Ho 0.207 0.207 0.924
8 Ho 0.367 0.367 0.502
9 Ho 0.500 0.500 0.000
10 Ho 0.633 0.633 0.498
11 Ho 0.793 0.793 0.076
12 Ho 0.935 0.935 0.679

## Properties
Energy above the lowest structure with this stoichiometry ... 123 meV/atom
Total energy ... -53.56 eV/cell
DFT formation energy ... 3.299 eV/f.u.
DOS(E_F) ... 23.042 states/eV/f.u.
Symmetry ... C2/m

***

Entry from the Alexandria database: a relaxed CeSm3Ho2 crystal (PBE-GGA).

a b c (Å): 6.951 16.117 3.505
angles (deg): 90.00 90.00 90.00
Fractional positions:
1 Ce 0.000 0.000 0.000
2 Ce 0.500 0.500 0.500
3 Sm 0.000 0.500 0.500
4 Sm 0.249 0.157 0.500
5 Sm 0.251 0.657 0.000
6 Sm 0.500 0.000 0.000
7 Sm 0.749 0.343 0.000
8 Sm 0.751 0.843 0.500
9 Ho 0.247 0.846 0.500
10 Ho 0.253 0.346 0.000
11 Ho 0.747 0.654 0.000
12 Ho 0.753 0.154 0.500

## Properties
Total energy ... -56.42 eV/cell
DFT formation energy ... 1.036 eV/f.u.
DOS(E_F) ... 10.841 states/eV/f.u.
Symmetry ... Pnnm

***

Entry from the Alexandria database: a relaxed CeSmHo crystal (PBE-GGA).

a b c (Å): 12.968 3.451 9.736
angles (deg): 90.00 120.80 90.00
Fractional positions:
1 Ce 0.116 0.000 0.011
2 Ce 0.384 0.500 0.989
3 Ce 0.616 0.500 0.011
4 Ce 0.884 0.000 0.989
5 Sm 0.113 0.500 0.342
6 Sm 0.387 0.000 0.658
7 Sm 0.613 0.000 0.342
8 Sm 0.887 0.500 0.658
9 Ho 0.131 0.000 0.677
10 Ho 0.369 0.500 0.323
11 Ho 0.631 0.500 0.677
12 Ho 0.869 0.000 0.323

## Properties
Energy above the lowest structure with this stoichiometry ... 24 meV/atom
Total energy ... -59.79 eV/cell
DFT formation energy ... 0.282 eV/f.u.
DOS(E_F) ... 6.753 states/eV/f.u.
Symmetry ... C2/m

***

Entry from the Alexandria database: a relaxed CeSm2Ho7 crystal (PBE-GGA).

a b c (Å): 14.735 14.735 3.461
angles (deg): 90.00 90.00 154.53
Fractional positions:
1 Ce 0.000 0.000 0.000
2 Sm 0.293 0.707 0.500
3 Sm 0.707 0.293 0.500
4 Ho 0.148 0.345 0.500
5 Ho 0.186 0.814 0.000
6 Ho 0.345 0.148 0.500
7 Ho 0.500 0.500 0.500
8 Ho 0.655 0.852 0.500
9 Ho 0.814 0.186 0.000
10 Ho 0.852 0.655 0.500

## Properties
Total energy ... -45.56 eV/cell
DFT formation energy ... 1.853 eV/f.u.
DOS(E_F) ... 19.195 states/eV/f.u.
Symmetry ... Cmmm

***

Entry from the Alexandria database: a relaxed CeSmHo crystal (PBE-GGA).

a b c (Å): 5.715 6.842 9.689
angles (deg): 90.00 90.00 90.00
Fractional positions:
1 Ce 0.000 0.000 0.138
2 Ce 0.000 0.000 0.862
3 Ce 0.500 0.500 0.362
4 Ce 0.500 0.500 0.638
5 Sm 0.000 0.244 0.500
6 Sm 0.000 0.756 0.500
7 Sm 0.500 0.256 0.000
8 Sm 0.500 0.744 0.000
9 Ho 0.000 0.500 0.170
10 Ho 0.000 0.500 0.830
11 Ho 0.500 0.000 0.330
12 Ho 0.500 0.000 0.670

## Properties
Energy above the lowest structure with this stoichiometry ... 34 meV/atom
Total energy ... -59.67 eV/cell
DFT formation energy ... 0.313 eV/f.u.
DOS(E_F) ... 6.925 states/eV/f.u.
Symmetry ... Immm

***

Entry from the Alexandria database: a relaxed CeSmHo2 crystal (PBE-GGA).

a b c (Å): 3.541 3.541 9.976
angles (deg): 90.00 90.00 90.00
Fractional positions:
1 Ce 0.000 0.000 0.000
2 Sm 0.000 0.000 0.500
3 Ho 0.500 0.500 0.242
4 Ho 0.500 0.500 0.758

## Properties
Energy above the lowest structure with this stoichiometry ... 32 meV/atom
Total energy ... -19.57 eV/cell
DFT formation energy ... 0.242 eV/f.u.
DOS(E_F) ... 7.708 states/eV/f.u.
Symmetry ... P4/mmm

***

Entry from the Alexandria database: a relaxed CeSmHoSn crystal (PBE-GGA).

a b c (Å): 7.649 7.649 7.649
angles (deg): 90.00 90.00 90.00
Fractional positions:
1 Ce 0.000 0.000 0.000
2 Ce 0.000 0.500 0.500
3 Ce 0.500 0.000 0.500
4 Ce 0.500 0.500 0.000
5 Sm 0.250 0.250 0.750
6 Sm 0.250 0.750 0.250
7 Sm 0.750 0.250 0.250
8 Sm 0.750 0.750 0.750
9 Ho 0.250 0.250 0.250
10 Ho 0.250 0.750 0.750
11 Ho 0.750 0.250 0.750
12 Ho 0.750 0.750 0.250
13 Sn 0.000 0.000 0.500
14 Sn 0.000 0.500 0.000
15 Sn 0.500 0.000 0.000
16 Sn 0.500 0.500 0.500

## Properties
Total energy ... -80.06 eV/cell
DFT formation energy ... -0.781 eV/f.u.
DOS(E_F) ... 7.878 states/eV/f.u.
Symmetry ... F-43m

***

Entry from the Alexandria database: a relaxed Tb2CeSm6Ho crystal (PBE-GGA).

a b c (Å): 6.673 6.673 8.864
angles (deg): 102.90 102.90 62.44
Fractional positions:
1 Tb 0.089 0.089 0.169
2 Tb 0.911 0.911 0.831
3 Ce 0.500 0.500 0.000
4 Sm 0.064 0.590 0.201
5 Sm 0.376 0.376 0.584
6 Sm 0.410 0.936 0.799
7 Sm 0.590 0.064 0.201
8 Sm 0.624 0.624 0.416
9 Sm 0.936 0.410 0.799
10 Ho 0.000 0.000 0.500

## Properties
Total energy ... -45.62 eV/cell
DFT formation energy ... 2.466 eV/f.u.
DOS(E_F) ... 22.560 states/eV/f.u.
Symmetry ... C2/m

***

Entry from the Alexandria database: a relaxed Tb6Ce2Sm3Ho crystal (PBE-GGA).

a b c (Å): 6.179 6.179 11.805
angles (deg): 95.01 95.01 119.99
Fractional positions:
1 Tb 0.082 0.417 0.753
2 Tb 0.247 0.247 0.247
3 Tb 0.417 0.082 0.753
4 Tb 0.583 0.918 0.247
5 Tb 0.753 0.753 0.753
6 Tb 0.918 0.583 0.247
7 Ce 0.166 0.834 0.000
8 Ce 0.834 0.166 0.000
9 Sm 0.000 0.000 0.500
10 Sm 0.334 0.666 0.500
11 Sm 0.666 0.334 0.500
12 Ho 0.500 0.500 0.000

## Properties
Total energy ... -57.84 eV/cell
DFT formation energy ... 0.547 eV/f.u.
DOS(E_F) ... 21.351 states/eV/f.u.
Symmetry ... C2/m

***

Entry from the Alexandria database: a relaxed Tb3CeSmHo crystal (PBE-GGA).

a b c (Å): 6.518 6.518 11.508
angles (deg): 90.00 90.00 127.94
Fractional positions:
1 Tb 0.142 0.858 0.750
2 Tb 0.326 0.674 0.527
3 Tb 0.326 0.674 0.973
4 Tb 0.674 0.326 0.027
5 Tb 0.674 0.326 0.473
6 Tb 0.858 0.142 0.250
7 Ce 0.472 0.528 0.250
8 Ce 0.528 0.472 0.750
9 Sm 0.000 0.000 0.000
10 Sm 0.000 0.000 0.500
11 Ho 0.171 0.829 0.250
12 Ho 0.829 0.171 0.750

## Properties
Total energy ... -56.29 eV/cell
DFT formation energy ... 0.975 eV/f.u.
DOS(E_F) ... 14.470 states/eV/f.u.
Symmetry ... Cmcm

***

Entry from the Alexandria database: a relaxed Tb4CeSmHo2 crystal (PBE-GGA).

a b c (Å): 6.148 3.549 11.808
angles (deg): 90.00 99.95 90.00
Fractional positions:
1 Tb 0.247 0.000 0.248
2 Tb 0.248 0.500 0.752
3 Tb 0.752 0.500 0.248
4 Tb 0.753 0.000 0.752
5 Ce 0.000 0.500 0.000
6 Sm 0.000 0.000 0.500
7 Ho 0.500 0.000 0.000
8 Ho 0.500 0.500 0.500

## Properties
Total energy ... -38.01 eV/cell
DFT formation energy ... 0.323 eV/f.u.
DOS(E_F) ... 13.512 states/eV/f.u.
Symmetry ... P2/m

***

Entry from the Alexandria database: a relaxed Tb3Ce2Sm6Ho crystal (PBE-GGA).

a b c (Å): 6.209 6.209 11.891
angles (deg): 95.02 95.02 120.00
Fractional positions:
1 Tb 0.000 0.000 0.000
2 Tb 0.334 0.666 0.000
3 Tb 0.666 0.334 0.000
4 Ce 0.167 0.833 0.500
5 Ce 0.833 0.167 0.500
6 Sm 0.081 0.416 0.252
7 Sm 0.248 0.248 0.749
8 Sm 0.416 0.081 0.252
9 Sm 0.584 0.919 0.748
10 Sm 0.752 0.752 0.251
11 Sm 0.919 0.584 0.748
12 Ho 0.500 0.500 0.500

## Properties
Total energy ... -58.03 eV/cell
DFT formation energy ... 0.622 eV/f.u.
DOS(E_F) ... 23.633 states/eV/f.u.
Symmetry ... C2/m

***

Entry from the Alexandria database: a relaxed Tb2CeSmHo crystal (PBE-GGA).

a b c (Å): 5.909 7.985 6.928
angles (deg): 90.00 90.00 90.00
Fractional positions:
1 Tb 0.250 0.203 0.187
2 Tb 0.250 0.797 0.187
3 Tb 0.750 0.203 0.813
4 Tb 0.750 0.797 0.813
5 Ce 0.000 0.500 0.500
6 Ce 0.500 0.500 0.500
7 Sm 0.250 0.000 0.664
8 Sm 0.750 0.000 0.336
9 Ho 0.250 0.500 0.904
10 Ho 0.750 0.500 0.096

## Properties
Total energy ... -46.09 eV/cell
DFT formation energy ... 1.447 eV/f.u.
DOS(E_F) ... 9.913 states/eV/f.u.
Symmetry ... Pmma

***

Entry from the Alexandria database: a relaxed Tb3CeSm6Ho2 crystal (PBE-GGA).

a b c (Å): 6.219 6.219 11.887
angles (deg): 95.02 95.02 120.00
Fractional positions:
1 Tb 0.000 0.000 0.000
2 Tb 0.333 0.667 0.000
3 Tb 0.667 0.333 0.000
4 Ce 0.500 0.500 0.500
5 Sm 0.086 0.417 0.251
6 Sm 0.251 0.251 0.749
7 Sm 0.417 0.086 0.251
8 Sm 0.583 0.914 0.749
9 Sm 0.749 0.749 0.251
10 Sm 0.914 0.583 0.749
11 Ho 0.167 0.833 0.500
12 Ho 0.833 0.167 0.500

## Properties
Total energy ... -56.85 eV/cell
DFT formation energy ... 0.443 eV/f.u.
DOS(E_F) ... 19.940 states/eV/f.u.
Symmetry ... C2/m

***

Entry from the Alexandria database: a relaxed TbCe2Sm6Ho3 crystal (PBE-GGA).

a b c (Å): 6.200 6.200 11.859
angles (deg): 95.01 95.01 120.02
Fractional positions:
1 Tb 0.000 0.000 0.000
2 Ce 0.333 0.667 0.000
3 Ce 0.667 0.333 0.000
4 Sm 0.084 0.420 0.250
5 Sm 0.252 0.252 0.750
6 Sm 0.420 0.084 0.250
7 Sm 0.580 0.916 0.750
8 Sm 0.748 0.748 0.250
9 Sm 0.916 0.580 0.750
10 Ho 0.166 0.834 0.500
11 Ho 0.500 0.500 0.500
12 Ho 0.834 0.166 0.500

## Properties
Total energy ... -57.91 eV/cell
DFT formation energy ... 0.638 eV/f.u.
DOS(E_F) ... 23.174 states/eV/f.u.
Symmetry ... C2/m

***

Entry from the Alexandria database: a relaxed TbCeSmHo3 crystal (PBE-GGA).

a b c (Å): 7.910 7.910 10.033
angles (deg): 90.00 90.00 142.90
Fractional positions:
1 Tb 0.167 0.833 0.750
2 Tb 0.833 0.167 0.250
3 Ce 0.500 0.500 0.250
4 Ce 0.500 0.500 0.750
5 Sm 0.000 0.000 0.000
6 Sm 0.000 0.000 0.500
7 Ho 0.167 0.833 0.250
8 Ho 0.335 0.665 0.000
9 Ho 0.335 0.665 0.500
10 Ho 0.665 0.335 0.000
11 Ho 0.665 0.335 0.500
12 Ho 0.833 0.167 0.750

## Properties
Total energy ... -57.36 eV/cell
DFT formation energy ... 0.334 eV/f.u.
DOS(E_F) ... 10.834 states/eV/f.u.
Symmetry ... Cmcm

***

Entry from the Alexandria database: a relaxed Tb6CeSmHo2 crystal (PBE-GGA).

a b c (Å): 6.609 6.609 9.001
angles (deg): 104.59 104.59 61.13
Fractional positions:
1 Tb 0.091 0.574 0.195
2 Tb 0.133 0.133 0.417
3 Tb 0.426 0.909 0.805
4 Tb 0.574 0.091 0.195
5 Tb 0.867 0.867 0.583
6 Tb 0.909 0.426 0.805
7 Ce 0.000 0.000 0.000
8 Sm 0.500 0.500 0.500
9 Ho 0.409 0.409 0.829
10 Ho 0.591 0.591 0.171

## Properties
Total energy ... -45.09 eV/cell
DFT formation energy ... 2.502 eV/f.u.
DOS(E_F) ... 21.793 states/eV/f.u.
Symmetry ... C2/m

***

Entry from the Alexandria database: a relaxed Tb5CeSm2Ho crystal (PBE-GGA).

a b c (Å): 9.933 9.933 9.933
angles (deg): 128.99 128.99 75.03
Fractional positions:
1 Tb 0.000 0.000 0.000
2 Tb 0.059 0.559 0.900
3 Tb 0.158 0.059 0.500
4 Tb 0.342 0.842 0.900
5 Tb 0.441 0.342 0.500
6 Tb 0.500 0.500 0.000
7 Tb 0.559 0.658 0.500
8 Tb 0.658 0.158 0.100
9 Tb 0.842 0.941 0.500
10 Tb 0.941 0.441 0.100
11 Ce 0.250 0.750 0.500
12 Ce 0.750 0.250 0.500
13 Sm 0.123 0.377 0.500
14 Sm 0.377 0.877 0.255
15 Sm 0.623 0.123 0.745
16 Sm 0.877 0.623 0.500
17 Ho 0.250 0.250 0.000
18 Ho 0.750 0.750 0.000

## Properties
Total energy ... -81.28 eV/cell
DFT formation energy ... 2.459 eV/f.u.
DOS(E_F) ... 15.714 states/eV/f.u.
Symmetry ... I4/mcm

***

Entry from the Alexandria database: a relaxed TbCeSm2Ho5 crystal (PBE-GGA).

a b c (Å): 9.846 9.846 9.846
angles (deg): 128.32 128.32 76.11
Fractional positions:
1 Tb 0.250 0.250 0.000
2 Tb 0.750 0.750 0.000
3 Ce 0.250 0.750 0.500
4 Ce 0.750 0.250 0.500
5 Sm 0.120 0.620 0.741
6 Sm 0.380 0.120 0.500
7 Sm 0.620 0.880 0.500
8 Sm 0.880 0.380 0.259
9 Ho 0.000 0.000 0.000
10 Ho 0.063 0.157 0.500
11 Ho 0.157 0.657 0.094
12 Ho 0.343 0.437 0.500
13 Ho 0.437 0.937 0.094
14 Ho 0.500 0.500 0.000
15 Ho 0.563 0.063 0.906
16 Ho 0.657 0.563 0.500
17 Ho 0.843 0.343 0.906
18 Ho 0.937 0.843 0.500

## Properties
Total energy ... -80.82 eV/cell
DFT formation energy ... 2.480 eV/f.u.
DOS(E_F) ... 15.192 states/eV/f.u.
Symmetry ... I4/mcm

***

Entry from the Alexandria database: a relaxed Tb3Ce2SmHo6 crystal (PBE-GGA).

a b c (Å): 6.133 6.133 11.706
angles (deg): 95.01 95.01 119.99
Fractional positions:
1 Tb 0.000 0.000 0.000
2 Tb 0.334 0.666 0.000
3 Tb 0.666 0.334 0.000
4 Ce 0.167 0.833 0.500
5 Ce 0.833 0.167 0.500
6 Sm 0.500 0.500 0.500
7 Ho 0.081 0.416 0.251
8 Ho 0.248 0.248 0.749
9 Ho 0.416 0.081 0.251
10 Ho 0.584 0.919 0.749
11 Ho 0.752 0.752 0.251
12 Ho 0.919 0.584 0.749

## Properties
Total energy ... -57.38 eV/cell
DFT formation energy ... 0.563 eV/f.u.
DOS(E_F) ... 21.258 states/eV/f.u.
Symmetry ... C2/m